No. 1
4
Lattice="6.8500 -0.0038 0.0000 3.7742 5.7165 0.0000 -5.3121 -2.8564 3.2474" Properties=species:S:1:pos:R:3 comment="K2CaRu (PBE, relaxed)" magmom_total_mub_per_fu=0.756 final_energy_ev_per_atom=-2.469 spacegroup=I4/mmm polymorph_energy_mev_per_atom=320.9 e_form_ev_per_fu=3.59 pbc="T T T"
Ca 3.4250 -0.0019 1.6237
K 0.0000 0.0000 0.0000
K 5.3121 2.8564 0.0000
Ru 1.8871 2.8583 1.6237

---

No. 2
4
Lattice="3.9679 0.0000 0.0000 0.0000 3.9897 0.0000 0.0000 0.0000 8.9720" Properties=species:S:1:pos:R:3 comment="KCa2Ru (PBE, relaxed)" magmom_total_mub_per_fu=0.000 final_energy_ev_per_atom=-3.106 spacegroup=Pmm2 polymorph_energy_mev_per_atom=258.1 e_form_ev_per_fu=1.95 pbc="T T T"
Ca 0.0000 0.0000 8.2915
Ca 1.9840 1.9948 1.4734
K 0.0000 0.0000 4.9759
Ru 1.9840 1.9948 7.6891

---

No. 3
8
Lattice="-2.6800 -7.6491 -0.5762 0.3194 -0.7211 8.0871 -6.5940 -2.3170 4.1358" Properties=species:S:1:pos:R:3 comment="KCa2Ru (PBE, relaxed)" magmom_total_mub_per_fu=0.000 final_energy_ev_per_atom=-3.014 spacegroup=I-42d polymorph_energy_mev_per_atom=350.1 e_form_ev_per_fu=2.32 pbc="T T T"
Ru 0.0000 0.0000 0.0000
Ru -5.2271 -7.0756 3.6576
Ca -3.9506 -7.3539 1.5413
Ca -3.7968 -7.7313 5.5836
Ca -5.9102 -4.6971 3.9057
Ca -7.2509 -8.5200 3.5997
K -1.1803 -4.1851 3.7555
K -3.7275 -3.6116 7.9892

---

No. 4
4
Lattice="-0.7765 3.6211 0.5966 -1.4563 -0.7268 2.5158 6.4343 0.1528 7.4475" Properties=species:S:1:pos:R:3 comment="KCaRu2 (PBE, relaxed)" magmom_total_mub_per_fu=0.000 final_energy_ev_per_atom=-4.961 spacegroup=Pm polymorph_energy_mev_per_atom=78.0 e_form_ev_per_fu=1.81 pbc="T T T"
Ca 1.7152 -0.3679 4.4652
K 3.8668 1.4314 8.1379
Ru -0.7182 -0.6447 2.9784
Ru 0.3703 1.6145 2.4758